No. 1
# Na2CuPb

A relaxed structure of Na2CuPb (PBE-GGA, the Alexandria database).

## Properties
space group = R-3m (166)
energy relative to the elements = 0.35 eV/atom

Geometry as extended XYZ:
```
4
Lattice="1.672 0.965 11.116 -1.672 0.965 11.116 0.000 -1.930 11.116" Properties=species:S:1:pos:R:3 pbc="T T T"
Na 0.000 0.000 2.755
Na 0.000 0.000 30.594
Cu 0.000 0.000 0.000
Pb 0.000 0.000 16.675
```

No. 2
# Ge2MoAu

A relaxed structure of Ge2MoAu (PBE-GGA, the Alexandria database).

## Properties
space group = Fm-3m (225)
energy relative to the elements = 0.37 eV/atom

Geometry as extended XYZ:
```
4
Lattice="0.000 3.217 3.217 3.217 0.000 3.217 3.217 3.217 0.000" Properties=species:S:1:pos:R:3 pbc="T T T"
Ge 1.609 1.609 1.609
Ge 4.826 4.826 4.826
Mo 0.000 0.000 0.000
Au 3.217 3.217 3.217
```

No. 3
# Y2HfO5

A relaxed structure of Y2HfO5 (PBE-GGA, the Alexandria database).

## Properties
uncorrected formation energy = -3.550 eV per atom
space group = Pnma (62)

Geometry as extended XYZ:
```
32
Lattice="7.548 0.000 0.000 0.000 3.763 0.000 0.000 0.000 15.798" Properties=species:S:1:pos:R:3 pbc="T T T"
Y 0.689 0.941 1.411
Y 1.044 0.941 11.677
Y 2.730 2.822 3.778
Y 3.085 2.822 9.309
Y 4.463 0.941 6.488
Y 4.818 0.941 12.019
Y 6.504 2.822 4.120
Y 6.859 2.822 14.387
Hf 0.942 0.941 6.771
Hf 2.832 2.822 14.669
Hf 4.716 0.941 1.128
Hf 6.606 2.822 9.027
O 0.665 2.822 7.356
O 0.705 2.822 10.338
O 0.746 2.822 2.839
O 1.081 2.822 0.068
O 1.494 2.822 13.133
O 2.280 0.941 5.234
O 2.693 0.941 7.966
O 3.028 0.941 10.738
O 3.069 0.941 2.439
O 3.109 0.941 15.255
O 4.439 2.822 0.543
O 4.479 2.822 13.358
O 4.520 2.822 5.060
O 4.855 2.822 7.831
O 5.268 2.822 10.563
O 6.054 0.941 2.665
O 6.467 0.941 15.730
O 6.802 0.941 12.959
O 6.843 0.941 5.459
O 6.883 0.941 8.442
```

No. 4
# DyHo2PaTc2

A relaxed structure of DyHo2PaTc2 (PBE-GGA, the Alexandria database).

## Properties
space group = Ibam (72)
energy relative to the elements = -0.05 eV/atom

Geometry as extended XYZ:
```
12
Lattice="-3.334 6.966 3.289 3.334 -6.966 3.289 3.334 6.966 -3.289" Properties=species:S:1:pos:R:3 pbc="T T T"
Dy 0.000 0.000 1.645
Dy 0.000 0.000 4.934
Ho 4.866 2.659 0.000
Ho 1.532 4.307 0.000
Ho 1.802 2.659 3.289
Ho -1.532 4.307 3.289
Pa 3.334 0.000 1.645
Pa 0.000 6.966 1.645
Tc 1.991 1.484 0.000
Tc 1.991 -1.484 3.289
Tc 1.343 8.450 0.000
Tc 1.343 5.483 3.289
```

No. 5
# InNiTe

A relaxed structure of InNiTe (PBE-GGA, the Alexandria database).

## Properties
uncorrected formation energy = -0.094 eV per atom
space group = P3m1 (156)

Geometry as extended XYZ:
```
3
Lattice="3.866 0.000 0.000 -1.933 3.348 0.000 0.000 0.000 5.332" Properties=species:S:1:pos:R:3 pbc="T T T"
In 0.000 0.000 0.000
Ni 0.000 2.232 1.522
Te 1.933 1.116 2.678
```

No. 6
# Sr2HgF

A relaxed structure of Sr2HgF (PBE-GGA, the Alexandria database).

## Properties
uncorrected formation energy = -1.579 eV per atom
space group = I-42d (122)

Geometry as extended XYZ:
```
8
Lattice="-3.755 3.755 4.355 3.755 -3.755 4.355 3.755 3.755 -4.355" Properties=species:S:1:pos:R:3 pbc="T T T"
Sr 1.877 1.275 -1.089
Sr 2.480 -1.877 5.444
Sr 1.877 2.480 3.266
Sr 1.275 5.632 1.089
Hg 3.755 0.000 2.178
Hg 0.000 0.000 4.355
F 0.000 0.000 0.000
F 0.000 3.755 2.178
```

No. 7
# SrCdGa2Au4

A relaxed structure of SrCdGa2Au4 (PBE-GGA, the Alexandria database).

## Properties
space group = R-3m (166)
energy relative to the elements = -0.36 eV/atom

Geometry as extended XYZ:
```
8
Lattice="2.235 1.290 10.126 -2.235 1.290 10.126 0.000 -2.581 10.126" Properties=species:S:1:pos:R:3 pbc="T T T"
Sr 0.000 0.000 0.000
Cd 0.000 0.000 15.189
Ga 0.000 0.000 7.517
Ga 0.000 0.000 22.861
Au 0.000 0.000 3.682
Au 0.000 0.000 12.165
Au 0.000 0.000 18.213
Au 0.000 0.000 26.696
```

No. 8
# Cu2SiOsC

A relaxed structure of Cu2SiOsC (PBE-GGA, the Alexandria database).

## Properties
uncorrected formation energy = 2.033 eV per atom
space group = P4/mmm (123)

Geometry as extended XYZ:
```
5
Lattice="4.263 0.000 0.000 0.000 4.263 0.000 0.000 0.000 4.453" Properties=species:S:1:pos:R:3 pbc="T T T"
Cu 0.000 2.132 0.000
Cu 2.132 0.000 0.000
Si 0.000 0.000 0.000
Os 0.000 0.000 2.226
C 2.132 2.132 2.226
```

No. 9
# LaMo6Se4S4

A relaxed structure of LaMo6Se4S4 (PBE-GGA, the Alexandria database).

## Properties
uncorrected formation energy = -0.867 eV per atom
space group = P1 (1)

Geometry as extended XYZ:
```
15
Lattice="6.692 0.000 0.000 -0.072 6.696 0.000 -0.118 -0.052 6.755" Properties=species:S:1:pos:R:3 pbc="T T T"
La 0.000 0.000 0.000
Mo 1.519 3.566 3.896
Mo 2.790 1.401 2.984
Mo 2.949 3.726 1.584
Mo 3.688 2.648 5.157
Mo 3.856 5.011 3.752
Mo 5.138 2.804 2.846
Se 1.584 5.718 2.503
Se 2.449 4.899 5.918
Se 4.176 1.497 0.815
Se 5.841 4.054 5.107
S 0.863 2.374 1.773
S 1.583 1.464 5.069
S 4.916 0.736 4.195
S 5.065 4.911 1.668
```

No. 10
# TlCdB3

A relaxed structure of TlCdB3 (PBE-GGA, the Alexandria database).

## Properties
space group = Pm-3m (221)
energy relative to the elements = 2.13 eV/atom

Geometry as extended XYZ:
```
5
Lattice="4.518 0.000 0.000 0.000 4.518 0.000 0.000 0.000 4.518" Properties=species:S:1:pos:R:3 pbc="T T T"
Tl 0.000 0.000 0.000
Cd 2.259 2.259 2.259
B 0.000 2.259 2.259
B 2.259 0.000 2.259
B 2.259 2.259 0.000
```

No. 11
# Rb2Np2PaSe6

A relaxed structure of Rb2Np2PaSe6 (PBE-GGA, the Alexandria database).

## Properties
uncorrected formation energy = -1.300 eV per atom
space group = C2/m (12)

Geometry as extended XYZ:
```
11
Lattice="3.648 -6.304 0.000 3.648 6.304 0.000 -2.457 0.000 8.213" Properties=species:S:1:pos:R:3 pbc="T T T"
Rb 3.648 4.182 0.000
Rb 3.648 -4.182 0.000
Np 2.420 2.096 4.106
Np 2.420 -2.096 4.106
Pa -1.228 0.000 4.106
Se -0.036 2.062 5.688
Se 1.151 0.000 2.524
Se -0.036 -2.062 5.688
Se 4.876 2.062 2.525
Se 3.689 0.000 5.689
Se 4.876 -2.062 2.525
```

No. 12
# CaPrSmDy

A relaxed structure of CaPrSmDy (PBE-GGA, the Alexandria database).

## Properties
space group = P4mm (99)
energy relative to the elements = 0.05 eV/atom

Geometry as extended XYZ:
```
4
Lattice="3.667 0.000 0.000 0.000 3.667 0.000 0.000 0.000 10.529" Properties=species:S:1:pos:R:3 pbc="T T T"
Ca 0.000 0.000 0.000
Pr 1.833 1.833 2.838
Sm 1.833 1.833 7.754
Dy 0.000 0.000 5.335
```

No. 13
# P2PtBrCl

A relaxed structure of P2PtBrCl (PBE-GGA, the Alexandria database).

## Properties
uncorrected formation energy = 0.497 eV per atom
space group = P4/mmm (123)

Geometry as extended XYZ:
```
5
Lattice="4.716 0.000 0.000 0.000 4.716 0.000 0.000 0.000 4.959" Properties=species:S:1:pos:R:3 pbc="T T T"
P 0.000 2.358 0.000
P 2.358 0.000 0.000
Pt 0.000 0.000 0.000
Br 2.358 2.358 2.479
Cl 0.000 0.000 2.479
```

No. 14
# KMnFe3

A relaxed structure of KMnFe3 (PBE-GGA, the Alexandria database).

## Properties
space group = Pm-3m (221)
energy relative to the elements = 1.25 eV/atom

Geometry as extended XYZ:
```
5
Lattice="4.500 0.000 0.000 0.000 4.500 0.000 0.000 0.000 4.500" Properties=species:S:1:pos:R:3 pbc="T T T"
K 0.000 0.000 0.000
Mn 2.250 2.250 2.250
Fe 0.000 2.250 2.250
Fe 2.250 0.000 2.250
Fe 2.250 2.250 0.000
```

No. 15
# Al3SiHg

A relaxed structure of Al3SiHg (PBE-GGA, the Alexandria database).

## Properties
uncorrected formation energy = 0.498 eV per atom
space group = Pm-3m (221)

Geometry as extended XYZ:
```
5
Lattice="4.845 0.000 0.000 0.000 4.845 0.000 0.000 0.000 4.845" Properties=species:S:1:pos:R:3 pbc="T T T"
Al 0.000 0.000 2.422
Al 0.000 2.422 0.000
Al 2.422 0.000 0.000
Si 0.000 0.000 0.000
Hg 2.422 2.422 2.422
```

No. 16
# Na2BeCdF6

A relaxed structure of Na2BeCdF6 (PBE-GGA, the Alexandria database).

## Properties
uncorrected formation energy = -2.620 eV per atom
space group = P4mm (99)

Geometry as extended XYZ:
```
10
Lattice="5.409 0.000 0.000 0.000 5.409 0.000 0.000 0.000 4.666" Properties=species:S:1:pos:R:3 pbc="T T T"
Na 0.000 2.704 0.000
Na 2.704 0.000 0.000
Be 0.000 0.000 2.759
Cd 2.704 2.704 2.741
F 0.000 0.000 1.223
F 1.187 1.187 3.264
F 1.187 4.222 3.264
F 2.704 2.704 0.554
F 4.222 1.187 3.264
F 4.222 4.222 3.264
```

No. 17
# MnAl2Rh

A relaxed structure of MnAl2Rh (PBE-GGA, the Alexandria database).

## Properties
space group = R-3m (166)
energy relative to the elements = -0.38 eV/atom

Geometry as extended XYZ:
```
4
Lattice="1.417 0.818 8.090 -1.417 0.818 8.090 0.000 -1.636 8.090" Properties=species:S:1:pos:R:3 pbc="T T T"
Mn 0.000 0.000 0.000
Al 0.000 0.000 6.043
Al 0.000 0.000 18.227
Rh 0.000 0.000 12.135
```

No. 18
# Nb6CuRu5

A relaxed structure of Nb6CuRu5 (PBE-GGA, the Alexandria database).

## Properties
space group = C2/m (12)
energy relative to the elements = -0.14 eV/atom

Geometry as extended XYZ:
```
12
Lattice="6.730 -3.553 0.000 6.730 3.553 0.000 -1.323 0.000 4.025" Properties=species:S:1:pos:R:3 pbc="T T T"
Nb 4.048 1.807 1.342
Nb 6.730 1.811 0.000
Nb 8.089 1.807 2.683
Nb 4.048 -1.807 1.342
Nb 6.730 -1.811 0.000
Nb 8.089 -1.807 2.683
Cu 6.069 0.000 2.013
Ru -0.661 0.000 2.013
Ru 2.086 0.000 0.689
Ru 3.493 0.000 3.385
Ru 8.645 0.000 0.640
Ru 10.052 0.000 3.337
```

No. 19
# ErTh2Se6

A relaxed structure of ErTh2Se6 (PBE-GGA, the Alexandria database).

## Properties
uncorrected formation energy = -1.503 eV per atom
space group = P4_2/mnm (136)

Geometry as extended XYZ:
```
18
Lattice="6.767 0.000 0.000 0.000 6.767 0.000 0.000 0.000 13.024" Properties=species:S:1:pos:R:3 pbc="T T T"
Er 0.000 0.000 0.000
Er 3.383 3.383 6.512
Th 0.000 0.000 4.315
Th 0.000 0.000 8.709
Th 3.383 3.383 2.197
Th 3.383 3.383 10.827
Se 1.335 1.335 2.103
Se 1.335 1.335 10.921
Se 1.356 1.356 6.512
Se 2.028 4.739 0.000
Se 2.048 4.718 4.409
Se 2.048 4.718 8.615
Se 4.718 2.048 4.409
Se 4.718 2.048 8.615
Se 4.739 2.028 0.000
Se 5.411 5.411 6.512
Se 5.432 5.432 2.103
Se 5.432 5.432 10.921
```

No. 20
# ScTePb2

A relaxed structure of ScTePb2 (PBE-GGA, the Alexandria database).

## Properties
uncorrected formation energy = -0.236 eV per atom
space group = Pmmm (47)

Geometry as extended XYZ:
```
4
Lattice="3.816 0.000 0.000 0.000 5.201 0.000 0.000 0.000 5.626" Properties=species:S:1:pos:R:3 pbc="T T T"
Sc 0.000 0.000 0.000
Te 1.908 2.601 0.000
Pb 0.000 2.601 2.813
Pb 1.908 0.000 2.813
```